Run a
Below is HfCoPb after structural relaxation, with properties calculated at the PBE-GGA level.

Computed properties:
**Space group**: Cmcm, No. 63

a b c (Å): 10.784 10.784 3.732
angles (deg): 90.00 90.00 162.27
Positions (direct):
Hf1 0.064 0.936 0.750
Hf2 0.936 0.064 0.250
Co1 0.459 0.541 0.750
Co2 0.541 0.459 0.250
Pb1 0.326 0.674 0.750
Pb2 0.674 0.326 0.250

=====

Run b
Below is HfCoPb after structural relaxation, with properties calculated at the PBE-GGA level.

Computed properties:
**Space group**: F-43m, No. 216

a b c (Å): 4.395 4.395 4.395
angles (deg): 60.00 60.00 60.00
Positions (direct):
Hf1 0.000 0.000 0.000
Co1 0.250 0.250 0.250
Pb1 0.500 0.500 0.500

=====

Q: Which of them is the most stable? A: run a.

=====

Run a
Below is Hf12Co6Pd after structural relaxation, with properties calculated at the PBE-GGA level.

Computed properties:
**Space group**: Im-3, No. 204

a b c (Å): 7.652 7.652 7.652
angles (deg): 109.47 109.47 109.47
Positions (direct):
Hf1 0.112 0.817 0.295
Hf2 0.183 0.295 0.478
Hf3 0.183 0.705 0.888
Hf4 0.295 0.112 0.817
Hf5 0.295 0.478 0.183
Hf6 0.478 0.183 0.295
Hf7 0.522 0.817 0.705
Hf8 0.705 0.522 0.817
Hf9 0.705 0.888 0.183
Hf10 0.817 0.295 0.112
Hf11 0.817 0.705 0.522
Hf12 0.888 0.183 0.705
Co1 0.138 0.638 0.500
Co2 0.362 0.500 0.862
Co3 0.500 0.138 0.638
Co4 0.500 0.862 0.362
Co5 0.638 0.500 0.138
Co6 0.862 0.362 0.500
Pd1 0.000 0.000 0.000

=====

Run b
Below is Hf12Co6Pd after structural relaxation, with properties calculated at the PBE-GGA level.

Computed properties:
**Space group**: R-3, No. 148

a b c (Å): 7.460 7.460 7.460
angles (deg): 100.85 100.85 100.85
Positions (direct):
Hf1 0.073 0.923 0.333
Hf2 0.077 0.667 0.927
Hf3 0.178 0.426 0.573
Hf4 0.333 0.073 0.923
Hf5 0.426 0.573 0.178
Hf6 0.427 0.822 0.574
Hf7 0.573 0.178 0.426
Hf8 0.574 0.427 0.822
Hf9 0.667 0.927 0.077
Hf10 0.822 0.574 0.427
Hf11 0.923 0.333 0.073
Hf12 0.927 0.077 0.667
Co1 0.138 0.609 0.302
Co2 0.302 0.138 0.609
Co3 0.391 0.698 0.862
Co4 0.609 0.302 0.138
Co5 0.698 0.862 0.391
Co6 0.862 0.391 0.698
Pd1 0.000 0.000 0.000

=====

Q: Which of them is the most stable? A: run a.